# 1
## HfAs3Rh (PBE-GGA)

Data for an optimized crystal structure of HfAs3Rh.

The calculation puts the formation enthalpy at 0 K at 0.423 eV/atom. For the energy, the calculation gives -5.83 eV per atom.

It has space group Pm-3m (No. 221), with a = 4.761 Å, b = 4.761 Å, c = 4.761 Å, α = 90.00°, β = 90.00° and γ = 90.00°. The asymmetric unit holds Hf at (0.000, 0.000, 0.000), As at (0.000, 0.500, 0.500) and Rh at (0.500, 0.500, 0.500).

---

# 2
## NdHoThSc (PBE-GGA)

Data for an optimized crystal structure of NdHoThSc.

The calculation puts the formation enthalpy at 0 K at 0.040 eV/atom. For the energy, the calculation gives -5.73 eV per atom.

It has space group R3m (No. 160, hexagonal axes), with a = 3.5442 Å, b = 3.5442 Å, c = 33.7605 Å, α = 90.00°, β = 90.00° and γ = 120.00°. The asymmetric unit holds Nd at (0.0000, 0.0000, 0.0000), Ho at (0.0000, 0.0000, 0.7556), Th at (0.0000, 0.0000, 0.1718) and Sc at (0.0000, 0.0000, 0.5834).

---

# 3
## Li2MoW (PBE-GGA)

Data for an optimized crystal structure of Li2MoW.

The calculation puts the formation enthalpy at 0 K at 0.507 eV/atom. For the energy, the calculation gives -6.40 eV per atom.

It has space group R-3m (No. 166, hexagonal axes), with a = 2.6903 Å, b = 2.6903 Å, c = 30.0677 Å, α = 90.00°, β = 90.00° and γ = 120.00°. The asymmetric unit holds Li at (0.0000, 0.0000, 0.2503), Mo at (0.0000, 0.0000, 0.0000) and W at (0.0000, 0.0000, 0.5000).